The following is a PBE calculation of a relaxed Zn2PtPb crystal, from Alexandria via LeMat-Bulk.

Results
Size of the total moment in μB per cell: 0.0
Symmetry: Cm (8)
Energy relative to the elements in eV per atom: -0.151
E in eV per formula unit: -12.90
Density in Mg/m³: 10.5

POSCAR file:
```
Zn2PtPb
1.0
-1.513 2.910 2.848
-0.161 -0.964 4.232
4.205 2.546 3.017
Zn Pb Pt
2 1 1
direct
0.039 0.039 0.883 Zn
0.288 0.288 0.136 Zn
0.491 0.491 0.523 Pb
0.681 0.681 0.958 Pt
```